The following is a GGA-PBE calculation of crystalline Rb2Ga3Sn4Au at its relaxed geometry, from Alexandria via LeMat-Bulk.

Lattice parameters (Å, degrees): 4.9311 4.9311 11.6650 90.00 90.00 90.00
Last column: nearest neighbours and their distance in Å.
Fractional positions:
Rb: 0.0000 0.5000 0.2435  8 Sn 3.76-3.88, 6 Ga 3.76, 2 Au 3.76
Rb: 0.5000 0.0000 0.7565  8 Sn 3.76-3.88, 6 Ga 3.76, 2 Au 3.76
Ga: 0.0000 0.0000 0.0000  4 Sn 2.85
Ga: 0.0000 0.5000 0.6358  5 Sn 2.82-2.93
Ga: 0.5000 0.0000 0.3642  5 Sn 2.82-2.93
Sn: 0.0000 0.0000 0.5000  4 Ga 2.93
Sn: 0.0000 0.5000 0.8772  3 Ga 2.82-2.85, 2 Au 2.85
Sn: 0.5000 0.0000 0.1228  3 Ga 2.82-2.85, 2 Au 2.85
Sn: 0.5000 0.5000 0.5000  4 Ga 2.93
Au: 0.5000 0.5000 0.0000  4 Sn 2.85

Computed properties:
M_tot ... 0.0 μB/cell
Formation energy from the elements ... -173 meV/atom
Total energy ... -3.20 eV/atom
Space-group type ... P-4m2, No. 115

The following is a GGA-PBE calculation of crystalline Rb2GaSn3Au4 at its relaxed geometry, from Alexandria via LeMat-Bulk.

Lattice parameters (Å, degrees): 4.9821 4.9821 10.9434 90.00 90.00 90.00
Last column: nearest neighbours and their distance in Å.
Fractional positions:
Rb: 0.0000 0.5000 0.2499  9 Au 3.70-4.02, 7 Sn 3.70-4.05, 2 Ga 3.70
Rb: 0.5000 0.0000 0.7501  9 Au 3.70-4.02, 7 Sn 3.70-4.05, 2 Ga 3.70
Ga: 0.0000 0.0000 0.5000  4 Au 2.80
Sn: 0.0000 0.5000 0.8798  5 Au 2.82-2.88
Sn: 0.5000 0.0000 0.1202  5 Au 2.82-2.88
Sn: 0.5000 0.5000 0.5000  4 Au 2.80
Au: 0.0000 0.0000 0.0000  4 Sn 2.82
Au: 0.0000 0.5000 0.6169  3 Sn 2.80-2.88, 2 Ga 2.80
Au: 0.5000 0.0000 0.3831  3 Sn 2.80-2.88, 2 Ga 2.80
Au: 0.5000 0.5000 0.0000  4 Sn 2.82

Computed properties:
M_tot ... 0.0 μB/cell
Formation energy from the elements ... -269 meV/atom
Total energy ... -3.28 eV/atom
Space-group type ... P-4m2, No. 115